[1]
The following is a GGA-PBEsol calculation of a relaxed Ca2Al2In crystal, from Alexandria via LeMat-Bulk.

POSCAR file:
```
Ca2Al2In
1.0
-2.261 3.046 2.658
-2.866 0.940 -3.515
-1.412 -6.677 2.416
In Ca Al
1 2 2
Direct
0.000 0.000 0.000
0.250 0.750 0.500
0.750 0.250 0.500
0.407 0.407 0.813
0.593 0.593 0.187
```

Calculated values
Crystal system: tetragonal
E_tot: -2.921 eV/atom

=====

[2]
The following is a GGA-PBEsol calculation of a relaxed CaAlInRe2 crystal, from Alexandria via LeMat-Bulk.

POSCAR file:
```
CaAlInRe2
1.0
4.762 0.000 0.000
0.000 4.974 0.000
0.000 0.000 4.974
In Re Ca Al
1 2 1 1
Direct
0.000 0.000 0.000
0.000 0.500 0.000
0.000 0.000 0.500
0.500 0.500 0.500
0.500 0.000 0.000
```

Calculated values
Crystal system: tetragonal
E_tot: -5.292 eV/atom

=====

Number 1: volume 138.51 Å³/f.u.. Number 2: volume 117.82 Å³/f.u..